VASP calculation (PBE) on crystalline ScC2 at its relaxed geometry.

## Properties
calculated formation energy	0.47	eV per atom
V	9.6	A^3/atom
space-group type	No. 65

abc: 7.0648 7.0648 2.9946
angles: 90.00 90.00 157.44
Atoms (fractional coordinates):
Sc 0.1282 0.8718 0.0000
Sc 0.8718 0.1282 0.0000
C 0.0000 0.0000 0.5000
C 0.2755 0.7245 0.5000
C 0.5000 0.5000 0.0000
C 0.7245 0.2755 0.5000